# 1
VASP calculation (PBE-GGA) on a geometry-optimized Pm2DyHo3Tm6 structure.

As for the symmetry: C2/m, No. 12.

Lattice parameters (Å, degrees): 6.1118 6.1118 11.6556 95.01 95.01 119.95
Atoms (fractional coordinates):
1 Ho 0.5000 0.5000 0.5000
2 Ho 0.1665 0.8335 0.5000
3 Ho 0.8335 0.1665 0.5000
4 Tm 0.2481 0.2481 0.7476
5 Tm 0.4177 0.0847 0.2522
6 Tm 0.5823 0.9153 0.7478
7 Tm 0.9153 0.5823 0.7478
8 Tm 0.7519 0.7519 0.2524
9 Tm 0.0847 0.4177 0.2522
10 Pm 0.6666 0.3334 0.0000
11 Pm 0.3334 0.6666 0.0000
12 Dy 0.0000 0.0000 0.0000


# 2
VASP calculation (PBE-GGA) on a geometry-optimized Tm2PuIn structure.

As for the symmetry: Fm-3m, No. 225.

Lattice parameters (Å, degrees): 5.3475 5.3475 5.3475 60.00 60.00 60.00
Atoms (fractional coordinates):
1 Tm 0.7500 0.7500 0.7500
2 Tm 0.2500 0.2500 0.2500
3 In 0.5000 0.5000 0.5000
4 Pu 0.0000 0.0000 0.0000


# 3
VASP calculation (PBE-GGA) on a geometry-optimized SmTmPu2Sb4 structure.

The calculation puts the uncorrected formation energy at -0.854 eV/atom. As for the symmetry: P2/m, No. 10.

Lattice parameters (Å, degrees): 4.4217 7.6559 7.6300 109.55 90.00 90.00
Atoms (fractional coordinates):
1 Sb 0.0000 0.2450 0.7479
2 Sb 0.0000 0.7550 0.2521
3 Sb 0.5000 0.2453 0.2489
4 Sb 0.5000 0.7547 0.7511
5 Tm 0.0000 0.0000 0.0000
6 Pu 0.0000 0.5000 0.5000
7 Pu 0.5000 0.0000 0.5000
8 Sm 0.5000 0.5000 0.0000


# 4
VASP calculation (PBE-GGA) on a geometry-optimized Mn2NiPt structure.

As for the symmetry: F-43m, No. 216.

Lattice parameters (Å, degrees): 4.2594 4.2594 4.2594 60.00 60.00 60.00
Atoms (fractional coordinates):
1 Pt 0.7500 0.7500 0.7500
2 Mn 0.2500 0.2500 0.2500
3 Mn 0.0000 0.0000 0.0000
4 Ni 0.5000 0.5000 0.5000


# 5
VASP calculation (PBE-GGA) on a geometry-optimized Na5Ac structure.

As for the symmetry: Cmmm, No. 65.

Lattice parameters (Å, degrees): 3.8486 6.4017 10.0020 108.66 90.00 90.00
Atoms (fractional coordinates):
1 Ac 0.0000 0.0000 0.0000
2 Na 0.5000 0.1797 0.3594
3 Na 0.0000 0.3488 0.6976
4 Na 0.0000 0.6512 0.3024
5 Na 0.5000 0.8203 0.6406
6 Na 0.5000 0.5000 0.0000


# 6
VASP calculation (PBE-GGA) on a geometry-optimized SrTa2CdP structure.

As for the symmetry: P4/mmm, No. 123.

Lattice parameters (Å, degrees): 5.0666 5.7838 5.0666 90.00 90.00 90.00
Atoms (fractional coordinates):
1 Ta 0.5000 0.0000 0.0000
2 Ta 0.0000 0.0000 0.5000
3 Sr 0.0000 0.5000 0.0000
4 Cd 0.0000 0.0000 0.0000
5 P 0.5000 0.5000 0.5000


# 7
VASP calculation (PBE-GGA) on a geometry-optimized LiCa2Cd6Ag structure.

As for the symmetry: P-1, No. 2.

Lattice parameters (Å, degrees): 7.2125 7.0986 7.3052 59.47 58.59 89.32
Atoms (fractional coordinates):
1 Ag 0.0000 0.0000 0.0000
2 Cd 0.6357 0.8343 0.5141
3 Cd 0.6314 0.6550 0.1945
4 Cd 0.3654 0.8513 0.9808
5 Cd 0.3643 0.1657 0.4859
6 Cd 0.6346 0.1487 0.0192
7 Cd 0.3686 0.3450 0.8055
8 Li 0.5000 0.5000 0.0000
9 Ca 0.0829 0.6882 0.6109
10 Ca 0.9171 0.3118 0.3891


# 8
VASP calculation (PBE-GGA) on a geometry-optimized Ac3TbGe6 structure.

As for the symmetry: R-3c, No. 167.

Lattice parameters (Å, degrees): 8.2104 8.2104 8.2104 98.30 98.30 98.30
Atoms (fractional coordinates):
1 Ge 0.9831 0.9091 0.6207
2 Ge 0.4831 0.1206 0.4091
3 Ge 0.8794 0.5909 0.5169
4 Ge 0.5909 0.5169 0.8794
5 Ge 0.0169 0.0909 0.3793
6 Ge 0.9091 0.6207 0.9831
7 Ge 0.3793 0.0169 0.0909
8 Ge 0.1206 0.4091 0.4831
9 Ge 0.5169 0.8794 0.5909
10 Ge 0.6207 0.9831 0.9091
11 Ge 0.4091 0.4831 0.1206
12 Ge 0.0909 0.3793 0.0169
13 Ac 0.6841 0.8159 0.2500
14 Ac 0.7500 0.3159 0.1841
15 Ac 0.8159 0.2500 0.6841
16 Ac 0.3159 0.1841 0.7500
17 Ac 0.1841 0.7500 0.3159
18 Ac 0.2500 0.6841 0.8159
19 Tb 0.5000 0.5000 0.5000
20 Tb 0.0000 0.0000 0.0000


no.,uncorrected energy (eV per atom),magnetic moment (μB per cell)
1,-4.533,0.0
2,-6.542,6.6
3,-7.647,10.1
4,-7.551,7.8
5,-1.667,0.0
6,-4.564,2.4
7,-1.553,0.0
8,-5.088,0.0